# 1
HoTmW after structural relaxation, computed with GGA-PBE.

The electronic total energy comes out at -7.165 eV per atom. The calculation puts the formation energy from the elements at 49 kJ/mol of formula units. The symmetry is No. 129. The total magnetic moment is 0.000 μB/f.u.

Cell: 3.3304 3.3304 13.4249 Å, 90.00 90.00 90.00°
Positions (direct):
1 W 0.5000 0.0000 0.0495
2 Ho 0.0000 0.5000 0.5947
3 Ho 0.5000 0.0000 0.4053
4 Tm 0.5000 0.0000 0.8051
5 Tm 0.0000 0.5000 0.1949
6 W 0.0000 0.5000 0.9505



# 2
YHoTm6 after structural relaxation, computed with GGA-PBE.

The electronic total energy comes out at -4.519 eV per atom. The calculation puts the formation energy from the elements at 165 kJ/mol of formula units. For the energy above the most stable polymorph in this dataset, the calculation gives 0.000 eV/atom. The symmetry is No. 2. The total magnetic moment is 0.000 μB/f.u.

Cell: 6.6740 6.4941 6.8549 Å, 76.46 60.47 89.52°
Positions (direct):
1 Ho 0.0000 0.5000 0.0000
2 Tm 0.5504 0.7497 0.9996
3 Tm 0.5710 0.7288 0.5226
4 Tm 0.4290 0.2712 0.4774
5 Tm 0.4496 0.2503 0.0004
6 Tm 0.0929 0.7681 0.4804
7 Y 0.0000 0.0000 0.0000
8 Tm 0.9071 0.2319 0.5196



# 3
YHo6Tm4 after structural relaxation, computed with GGA-PBE.

The electronic total energy comes out at -4.583 eV per atom. The calculation puts the formation energy from the elements at 135 kJ/mol of formula units. The symmetry is No. 63. The total magnetic moment is 0.000 μB/f.u.

Cell: 5.6045 5.5521 25.4378 Å, 90.00 90.00 120.31°
Positions (direct):
1 Ho 0.1539 0.3079 0.3189
2 Tm 0.5142 0.0285 0.6216
3 Tm 0.4858 0.9715 0.1216
4 Ho 0.1786 0.3572 0.6028
5 Ho 0.1539 0.3079 0.1811
6 Tm 0.1620 0.3241 0.0423
7 Ho 0.5000 0.0000 0.0000
8 Ho 0.1786 0.3572 0.8972
9 Ho 0.4876 0.9751 0.2500
10 Ho 0.8214 0.6428 0.3972
11 Y 0.1784 0.3568 0.7500
12 Y 0.8216 0.6432 0.2500
13 Tm 0.4858 0.9715 0.3784
14 Tm 0.8380 0.6759 0.9577
15 Ho 0.5000 0.0000 0.5000
16 Ho 0.8461 0.6921 0.8189
17 Ho 0.8214 0.6428 0.1028
18 Ho 0.8461 0.6921 0.6811
19 Tm 0.1620 0.3241 0.4577
20 Tm 0.8380 0.6759 0.5423
21 Ho 0.5124 0.0249 0.7500
22 Tm 0.5142 0.0285 0.8784



> Among the records above, which one has the lowest formation energy from the elements?

HoTmW